VASP calculation (GGA-PBE) on a relaxed NaErSe2O6 crystal.

Computed properties:
Uncorrected formation energy (meV/atom): -1718

Lattice parameters (Å, degrees): 6.735 6.735 6.735 47.38 47.38 47.38
Fractional positions:
Na (0.000, 0.000, 0.000)
Er (0.500, 0.500, 0.500)
Se (0.280, 0.280, 0.280)
Se (0.720, 0.720, 0.720)
O (0.063, 0.477, 0.737)
O (0.263, 0.937, 0.523)
O (0.477, 0.737, 0.063)
O (0.523, 0.263, 0.937)
O (0.737, 0.063, 0.477)
O (0.937, 0.523, 0.263)



VASP calculation (GGA-PBE) on a relaxed NaErSiO4 crystal.

Computed properties:
Uncorrected formation energy (meV/atom): -2873

Lattice parameters (Å, degrees): 5.669 5.535 6.849 90.00 91.56 90.00
Fractional positions:
Na (0.108, 0.250, 0.369)
Na (0.892, 0.750, 0.631)
Er (0.304, 0.250, 0.933)
Er (0.696, 0.750, 0.067)
Si (0.194, 0.750, 0.158)
Si (0.806, 0.250, 0.842)
O (0.024, 0.250, 0.690)
O (0.069, 0.750, 0.939)
O (0.379, 0.518, 0.176)
O (0.379, 0.982, 0.176)
O (0.621, 0.018, 0.824)
O (0.621, 0.482, 0.824)
O (0.931, 0.250, 0.061)
O (0.976, 0.750, 0.310)



- The highest uncorrected formation energy belongs to which entry?
  NaErSe2O6